Below is crystalline TiP2ClO at its relaxed geometry, with properties calculated at the GGA-PBE level.

The structure belongs to space group P4/mmm (No. 123); the cell edges are 3.802, 3.802 and 5.208 Å and the angles 90.00°, 90.00° and 90.00°. Symmetry generates all atoms from Ti at (0.000, 0.000, 0.000), P at (0.000, 0.500, 0.500), Cl at (0.500, 0.500, 0.000) and O at (0.500, 0.500, 0.500).

As for the formation energy from raw total energies: 0.023 eV per atom. Its total energy is -25.40 eV per cell. The magnetic moment comes out at 0.0 μB per formula unit.